## YSc4Ni4 (GGA-PBE)

Data for an optimized crystal structure of YSc4Ni4.

a = 8.378 Å, b = 8.378 Å, c = 5.138 Å
α = 90.00°, β = 90.00°, γ = 90.00°
Element x y z (fractional)
Y (0.250, 0.250, 0.250)
Y (0.750, 0.750, 0.750)
Sc (0.085, 0.654, 0.149)
Sc (0.154, 0.915, 0.649)
Sc (0.346, 0.585, 0.649)
Sc (0.415, 0.846, 0.149)
Sc (0.585, 0.154, 0.851)
Sc (0.654, 0.415, 0.351)
Sc (0.846, 0.085, 0.351)
Sc (0.915, 0.346, 0.851)
Ni (0.040, 0.609, 0.646)
Ni (0.109, 0.960, 0.146)
Ni (0.391, 0.540, 0.146)
Ni (0.460, 0.891, 0.646)
Ni (0.540, 0.109, 0.354)
Ni (0.609, 0.460, 0.854)
Ni (0.891, 0.040, 0.854)
Ni (0.960, 0.391, 0.354)

M_tot   0.00 μB per formula unit
V   20.0 A^3/atom
Symmetry   P4_2/n, No. 86
Formation energy from the elements   -0.266 eV per atom
Density   4.64 g cm⁻³



## Y2ScNi (GGA-PBE)

Data for an optimized crystal structure of Y2ScNi.

a = 3.439 Å, b = 3.453 Å, c = 8.154 Å
α = 90.00°, β = 90.00°, γ = 90.00°
Element x y z (fractional)
Y (0.000, 0.000, 0.200)
Y (0.000, 0.000, 0.800)
Sc (0.500, 0.500, 0.500)
Ni (0.500, 0.500, 0.000)

M_tot   0.31 μB per formula unit
V   24.2 A^3/atom
Offset from the most stable computed form   104 meV per atom
Symmetry   Pmmm, No. 47
Formation energy from the elements   -0.130 eV per atom
Density   4.83 g cm⁻³



## YSc3Ni8 (GGA-PBE)

Data for an optimized crystal structure of YSc3Ni8.

a = 4.950 Å, b = 4.950 Å, c = 8.064 Å
α = 90.00°, β = 90.00°, γ = 120.00°
Element x y z (fractional)
Y (0.000, 0.000, 0.000)
Sc (0.000, 0.000, 0.379)
Sc (0.667, 0.333, 0.493)
Sc (0.667, 0.333, 0.859)
Ni (0.166, 0.333, 0.679)
Ni (0.166, 0.834, 0.679)
Ni (0.333, 0.667, 0.433)
Ni (0.333, 0.667, 0.933)
Ni (0.501, 0.003, 0.188)
Ni (0.501, 0.499, 0.188)
Ni (0.667, 0.834, 0.679)
Ni (0.997, 0.499, 0.188)

M_tot   0.00 μB per formula unit
V   14.3 A^3/atom
Symmetry   P3m1, No. 156
Formation energy from the elements   -0.474 eV per atom
Density   6.73 g cm⁻³



Taking the records one at a time from the top gives uncorrected energy values of -6.368 -6.390 -6.450 eV/atom.